! CaPrEr2Sb4 (PBE, optimized geometry); values from VASP
! DOS at the Fermi energy ... 0.464 states/eV/atom
! Uncorrected formation energy ... -1030 meV/atom
&SYSTEM
  ibrav = 0, nat = 8, ntyp = 4
/
ATOMIC_SPECIES
Pr 140.91 Pr.upf
Er 167.26 Er.upf
Sb 121.76 Sb.upf
Ca 40.08 Ca.upf
CELL_PARAMETERS angstrom
-2.2752 2.9003 -2.4523
-3.1612 -5.8563 -3.9933
-6.5123 -2.1859 3.4566
ATOMIC_POSITIONS crystal
Pr 0.5000 0.5000 0.0000
Er 0.5000 0.0000 0.5000
Er 0.0000 0.0000 0.0000
Sb 0.0000 0.7633 0.7447
Sb 0.5000 0.7637 0.2458
Sb 0.0000 0.2367 0.2553
Sb 0.5000 0.2363 0.7542
Ca 0.0000 0.5000 0.5000

---

! CaPrErSc (PBE, optimized geometry); values from VASP
! DOS at the Fermi energy ... 1.520 states/eV/atom
! Energy of formation from the pure elements ... 0.151 eV/atom
&SYSTEM
  ibrav = 0, nat = 4, ntyp = 4
/
ATOMIC_SPECIES
Sc 44.96 Sc.upf
Pr 140.91 Pr.upf
Ca 40.08 Ca.upf
Er 167.26 Er.upf
CELL_PARAMETERS angstrom
-3.5451 2.5093 3.6338
-5.5596 0.0893 -1.0730
-3.5372 -3.1306 3.1236
ATOMIC_POSITIONS crystal
Sc 0.2500 0.2500 0.2500
Pr 0.0000 0.0000 0.0000
Ca 0.7500 0.7500 0.7500
Er 0.5000 0.5000 0.5000

---

Question: What is the DOS at the Fermi energy in the second record?
Answer: 1.520 states/eV/atom

---

Question: What is the DOS at the Fermi energy in the first record?
Answer: 0.464 states/eV/atom

---

Question: Among the records above, which one has the lowest DOS at the Fermi energy?
Answer: CaPrEr2Sb4

---

Question: Which of these has the lowest DOS at the Fermi energy?
Answer: CaPrEr2Sb4